Arrangement P

3
Lattice="5.6035 -0.0617 -0.0576 -2.7913 4.8592 0.0576 -2.7685 -1.6001 4.5455" Properties=species:S:1:pos:R:3 comment="SrCaCd | the Alexandria database | PBE | relaxed" magnetic_moment_mub_per_cell=0.00 dos_ef_per_ev_atom=1.494 pbc="T T T"
Sr 0.0363 3.2017 4.1610
Ca 2.8240 1.5675 1.8725
Cd 0.0252 -0.0148 3.0188

Arrangement Q

3
Lattice="-0.0263 5.4392 -5.0877 -2.3012 2.5328 -6.6141 -3.2697 2.1639 0.7612" Properties=species:S:1:pos:R:3 comment="SrCaCd | the Alexandria database | PBE | relaxed" magnetic_moment_mub_per_cell=0.00 dos_ef_per_ev_atom=0.951 pbc="T T T"
Sr -2.6200 6.1691 -7.8331
Ca -2.3570 7.7905 -11.3124
Cd -2.9478 4.1482 -3.4968

Most stable to least stable, the ends of the list are arrangement Q and arrangement P.

Arrangement P

7
Lattice="5.5462 0.0000 0.0000 2.7731 4.8032 0.0000 2.7731 1.6011 10.7868" Properties=species:S:1:pos:R:3 comment="SrCa4Cd2 | the Alexandria database | PBE | relaxed" magnetic_moment_mub_per_cell=0.00 dos_ef_per_ev_atom=1.292 pbc="T T T"
Sr 5.5462 3.2021 5.3934
Ca 8.3193 4.8032 9.6932
Ca 8.3193 4.8032 2.8636
Ca 2.7731 1.6011 1.0936
Ca 2.7731 1.6011 7.9233
Cd 5.5462 3.2021 2.1001
Cd 5.5462 3.2021 8.6867

Arrangement Q

14
Lattice="6.9663 0.0000 0.0000 0.0000 8.4684 -3.3833 0.0000 -0.0638 8.8205" Properties=species:S:1:pos:R:3 comment="SrCa4Cd2 | the Alexandria database | PBE | relaxed" magnetic_moment_mub_per_cell=0.00 dos_ef_per_ev_atom=1.127 pbc="T T T"
Sr 1.7416 7.1328 5.9181
Sr 5.2247 1.2718 -0.4808
Ca 3.4910 3.4812 5.3104
Ca 1.7416 2.1494 2.2039
Ca 5.2247 6.2552 3.2333
Ca 6.9584 3.4812 5.3104
Ca 5.2247 0.1213 3.4598
Ca 0.0079 4.9234 0.1268
Ca 3.4753 4.9234 0.1268
Ca 1.7416 8.2832 1.9774
Cd 1.7416 2.1189 7.7695
Cd 5.2247 6.2857 -2.3323
Cd 5.2247 3.1688 2.4143
Cd 1.7416 5.2358 3.0229

Most stable to least stable, the ends of the list are arrangement Q and arrangement P.

Arrangement P

6
Lattice="0.0000 5.3234 5.3234 5.3234 0.0000 5.3234 5.3234 5.3234 0.0000" Properties=species:S:1:pos:R:3 comment="Sr4CaCd | the Alexandria database | PBE | relaxed" magnetic_moment_mub_per_cell=0.00 dos_ef_per_ev_atom=1.102 pbc="T T T"
Sr 3.9924 6.6545 6.6545
Sr 6.6545 6.6545 3.9924
Sr 6.6545 3.9924 6.6545
Sr 3.9924 3.9924 3.9924
Ca 7.9851 7.9851 7.9851
Cd 0.0000 0.0000 0.0000

Arrangement Q

12
Lattice="-4.1556 5.8807 0.1998 -4.2387 -7.6908 6.0661 8.2491 3.5579 3.0617" Properties=species:S:1:pos:R:3 comment="Sr4CaCd | the Alexandria database | PBE | relaxed" magnetic_moment_mub_per_cell=0.00 dos_ef_per_ev_atom=1.167 pbc="T T T"
Sr 5.7129 1.7829 3.6382
Sr -0.8841 1.3411 6.5098
Sr 2.9727 -0.3971 6.3641
Sr -0.1502 -2.6333 7.7318
Sr 0.0050 4.3810 1.5958
Sr -3.1179 2.1448 2.9635
Sr 0.7389 0.4066 2.8178
Sr -5.8581 -0.0351 5.6895
Ca -2.2695 -1.7934 4.4417
Ca 2.1243 3.5411 4.8859
Cd -1.0323 1.4745 0.0600
Cd 0.8871 0.2733 9.2677

Most stable to least stable, the ends of the list are arrangement Q and arrangement P.

Arrangement P

6
Lattice="-3.8419 0.7207 0.4582 -0.8480 -2.9674 -2.4424 -0.3941 -9.6168 11.8207" Properties=species:S:1:pos:R:3 comment="SrCa4Cd | the Alexandria database | PBE | relaxed" magnetic_moment_mub_per_cell=0.00 dos_ef_per_ev_atom=1.148 pbc="T T T"
Sr 0.0000 0.0000 0.0000
Ca -2.4229 -3.0260 1.3467
Ca -0.2445 -5.9671 7.3346
Ca -0.1496 -3.6497 4.4862
Ca -2.6611 -8.8374 8.4899
Cd -2.5420 -5.9317 4.9183

Arrangement Q

6
Lattice="0.0000 5.0350 5.0350 5.0350 0.0000 5.0350 5.0350 5.0350 0.0000" Properties=species:S:1:pos:R:3 comment="SrCa4Cd | the Alexandria database | PBE | relaxed" magnetic_moment_mub_per_cell=0.00 dos_ef_per_ev_atom=0.889 pbc="T T T"
Sr 0.0000 0.0000 0.0000
Ca 3.7797 6.2902 6.2902
Ca 6.2902 6.2902 3.7797
Ca 6.2902 3.7797 6.2902
Ca 3.7797 3.7797 3.7797
Cd 7.5525 7.5525 7.5525

Most stable to least stable, the ends of the list are arrangement P and arrangement Q.

Arrangement P

10
Lattice="-6.2858 -6.2268 0.1881 4.2065 -4.4396 -6.3965 2.4373 -2.3624 3.2425" Properties=species:S:1:pos:R:3 comment="Sr2CaCd2 | the Alexandria database | PBE | relaxed" magnetic_moment_mub_per_cell=0.00 dos_ef_per_ev_atom=0.894 pbc="T T T"
Sr 2.9737 -5.1873 -2.6167
Sr 0.5252 -9.0335 -3.5785
Sr -2.6156 -7.8415 -0.3492
Sr -0.1671 -3.9953 0.6126
Ca 0.0000 0.0000 0.0000
Ca -1.0396 -5.3332 -3.1042
Cd 1.3288 -6.1926 -5.5106
Cd -2.8443 -8.2187 -3.8499
Cd -3.4081 -4.4738 -0.6978
Cd 0.7651 -2.4477 -2.3584

Arrangement Q

10
Lattice="-6.1703 -5.1285 -5.3338 6.6644 -0.8343 -6.9074 1.2677 -3.1992 1.6095" Properties=species:S:1:pos:R:3 comment="Sr2CaCd2 | the Alexandria database | PBE | relaxed" magnetic_moment_mub_per_cell=0.00 dos_ef_per_ev_atom=0.753 pbc="T T T"
Sr 3.5118 -2.5841 -7.9022
Sr -1.0849 -4.9591 -9.0025
Sr -3.0177 -3.3788 -4.3390
Sr 1.5790 -1.0037 -3.2388
Ca 0.0000 0.0000 0.0000
Ca 0.2471 -2.9814 -6.1206
Cd 4.0453 -2.9728 -4.6116
Cd 2.1554 -5.6866 -8.5173
Cd -2.2835 -6.1893 -6.0201
Cd -0.3936 -3.4754 -2.1144

Arrangement R

5
Lattice="5.2709 0.0000 0.0000 0.0000 5.2709 0.0000 2.6355 2.6355 7.0144" Properties=species:S:1:pos:R:3 comment="Sr2CaCd2 | the Alexandria database | PBE | relaxed" magnetic_moment_mub_per_cell=0.00 dos_ef_per_ev_atom=0.952 pbc="T T T"
Sr 5.2709 2.6355 3.5072
Sr 2.6355 5.2709 3.5072
Ca 0.0000 0.0000 0.0000
Cd 2.6355 2.6355 1.3866
Cd 5.2709 5.2709 5.6278

Arrangement S

5
Lattice="4.3201 0.0000 0.0000 0.0000 4.3201 0.0000 2.1600 2.1600 10.9416" Properties=species:S:1:pos:R:3 comment="Sr2CaCd2 | the Alexandria database | PBE | relaxed" magnetic_moment_mub_per_cell=0.00 dos_ef_per_ev_atom=0.804 pbc="T T T"
Sr 2.1600 2.1600 2.7355
Sr 4.3201 4.3201 8.2061
Ca 0.0000 0.0000 0.0000
Cd 4.3201 2.1600 5.4708
Cd 2.1600 4.3201 5.4708

Most stable to least stable, the ends of the list are arrangement P and arrangement S.

Arrangement P

5
Lattice="-2.2191 -5.3674 -2.3097 1.9135 -2.8548 4.7956 -5.4803 1.0547 2.8145" Properties=species:S:1:pos:R:3 comment="Sr2CaCdTe | the Alexandria database | PBE | relaxed" magnetic_moment_mub_per_cell=0.00 dos_ef_per_ev_atom=0.858 pbc="T T T"
Sr -2.7402 0.5273 1.4073
Sr -1.1096 -2.6837 -1.1549
Ca -2.8930 -3.5837 2.6502
Te 0.0000 0.0000 0.0000
Cd 0.9567 -1.4274 2.3978

Arrangement Q

5
Lattice="-5.6160 2.5571 1.1420 0.4627 -1.4974 5.6283 2.7561 5.5006 1.2369" Properties=species:S:1:pos:R:3 comment="Sr2CaCdTe | the Alexandria database | PBE | relaxed" magnetic_moment_mub_per_cell=0.00 dos_ef_per_ev_atom=1.453 pbc="T T T"
Sr 1.3781 2.7503 0.6184
Sr -2.8080 1.2786 0.5710
Ca 0.2313 -0.7487 2.8141
Te 0.0000 0.0000 0.0000
Cd -1.1986 3.2802 4.0036

Most stable to least stable, the ends of the list are arrangement Q and arrangement P.